(1)
## PrPPt4 (GGA-PBE)

Data for crystalline PrPPt4 at its relaxed geometry.

Properties
ρ ... 14.8 g/cm3
ΔH_f (0 K) ... -745 meV per atom

a = 4.059 Å, b = 6.807 Å, c = 7.971 Å
α = 90.00°, β = 104.75°, γ = 90.00°
Fractional positions:
Pr 0.104 0.250 0.208
Pr 0.896 0.750 0.792
P 0.240 0.750 0.480
P 0.760 0.250 0.520
Pt 0.500 0.500 0.000
Pt 0.500 0.000 0.000
Pt 0.685 0.956 0.371
Pt 0.315 0.044 0.629
Pt 0.315 0.456 0.629
Pt 0.685 0.544 0.371
Pt 0.087 0.750 0.173
Pt 0.913 0.250 0.827



(2)
## MnZn2CoIr (GGA-PBE)

Data for crystalline MnZn2CoIr at its relaxed geometry.

Properties
ρ ... 7.2 g/cm3
ΔH_f (0 K) ... 1371 meV per atom

a = 4.679 Å, b = 4.594 Å, c = 4.679 Å
α = 90.00°, β = 90.00°, γ = 90.00°
Fractional positions:
Zn 0.000 0.000 0.500
Zn 0.500 0.000 0.000
Ir 0.000 0.000 0.000
Co 0.000 0.500 0.000
Mn 0.500 0.500 0.500



(3)
## U4Ga12Rh (GGA-PBE)

Data for crystalline U4Ga12Rh at its relaxed geometry.

Properties
ρ ... 9.9 g/cm3
ΔH_f (0 K) ... -309 meV per atom

a = 7.445 Å, b = 7.445 Å, c = 7.445 Å
α = 109.47°, β = 109.47°, γ = 109.47°
Fractional positions:
U 0.000 0.000 0.500
U 0.500 0.000 0.000
U 0.500 0.500 0.500
U 0.000 0.500 0.000
Ga 0.000 0.292 0.292
Ga 0.000 0.708 0.708
Ga 0.708 0.708 0.000
Ga 0.292 0.292 0.000
Ga 0.292 0.000 0.292
Ga 0.708 0.000 0.708
Ga 0.500 0.250 0.750
Ga 0.500 0.750 0.250
Ga 0.750 0.250 0.500
Ga 0.250 0.750 0.500
Ga 0.750 0.500 0.250
Ga 0.250 0.500 0.750
Rh 0.000 0.000 0.000



(4)
## HoEr2ScIn4 (GGA-PBE)

Data for crystalline HoEr2ScIn4 at its relaxed geometry.

Properties
ρ ... 8.3 g/cm3
ΔH_f (0 K) ... -427 meV per atom

a = 5.220 Å, b = 5.220 Å, c = 9.071 Å
α = 73.28°, β = 73.28°, γ = 60.00°
Fractional positions:
Ho 0.000 0.000 0.000
Er 0.751 0.751 0.748
Er 0.249 0.249 0.252
Sc 0.500 0.500 0.500
In 0.377 0.377 0.870
In 0.873 0.873 0.380
In 0.127 0.127 0.620
In 0.623 0.623 0.130